(1)
Computed, not measured: a geometry-optimized ErPaOs structure at the PBE level of DFT.

Properties
* volume: 22.55 A^3/atom
* SG: I4mm
* offset from the most stable computed form: 0.00 kcal/mol of atoms
* final energy: -8.6296 eV/atom
* E_form: -200 meV per atom

Lattice parameters (Å, degrees): 3.522 3.522 5.995 107.08 107.08 90.00
Fractional coordinates of all 3 atoms:
1 Pa 0.304 0.304 0.609
2 Os 0.688 0.688 0.376
3 Er 0.008 0.008 0.015


(2)
Computed, not measured: a geometry-optimized Er3PaOs4 structure at the PBE level of DFT.

Properties
* volume: 19.64 A^3/atom
* SG: I4/mmm
* final energy: -8.8052 eV/atom
* E_form: -292 meV per atom

Lattice parameters (Å, degrees): 4.805 4.805 7.605 108.41 108.42 90.00
Fractional coordinates of all 8 atoms:
1 Pa 0.500 0.000 0.000
2 Os 0.381 0.381 0.762
3 Os 0.619 0.619 0.238
4 Os 0.119 0.119 0.238
5 Os 0.881 0.881 0.762
6 Er 0.000 0.500 0.000
7 Er 0.752 0.252 0.504
8 Er 0.248 0.748 0.496


(3)
Computed, not measured: a geometry-optimized ErPaOs structure at the PBE level of DFT.

Properties
* volume: 25.37 A^3/atom
* SG: F-43m
* offset from the most stable computed form: 3.30 kcal/mol of atoms
* final energy: -8.4863 eV/atom
* E_form: -57 meV per atom

Lattice parameters (Å, degrees): 4.757 4.757 4.757 60.00 60.00 60.00
Fractional coordinates of all 3 atoms:
1 Pa 0.000 0.000 0.000
2 Os 0.250 0.250 0.250
3 Er 0.500 0.500 0.500


(4)
Computed, not measured: a geometry-optimized Er2PaOs2 structure at the PBE level of DFT.

Properties
* volume: 22.54 A^3/atom
* SG: C2/c
* final energy: -8.5858 eV/atom
* E_form: -370 meV per atom

Lattice parameters (Å, degrees): 5.743 5.743 8.037 79.64 79.64 60.37
Fractional coordinates of all 10 atoms:
1 Er 0.490 0.211 0.150
2 Er 0.789 0.510 0.350
3 Er 0.510 0.789 0.850
4 Er 0.211 0.490 0.650
5 Pa 0.146 0.854 0.250
6 Pa 0.854 0.146 0.750
7 Os 0.728 0.004 0.508
8 Os 0.996 0.272 0.992
9 Os 0.272 0.996 0.492
10 Os 0.004 0.728 0.008


(5)
Computed, not measured: a geometry-optimized ErPaOsPd structure at the PBE level of DFT.

Properties
* volume: 20.67 A^3/atom
* SG: F-43m
* final energy: -8.0566 eV/atom
* E_form: -436 meV per atom

Lattice parameters (Å, degrees): 4.890 4.890 4.890 60.00 60.00 60.00
Fractional coordinates of all 4 atoms:
1 Pa 0.500 0.500 0.500
2 Os 0.250 0.250 0.250
3 Pd 0.750 0.750 0.750
4 Er 0.000 0.000 0.000


(6)
Computed, not measured: a geometry-optimized ErPaOsPt structure at the PBE level of DFT.

Properties
* volume: 20.67 A^3/atom
* SG: F-43m
* final energy: -8.4156 eV/atom
* E_form: -583 meV per atom

Lattice parameters (Å, degrees): 4.890 4.890 4.890 60.00 60.00 60.00
Fractional coordinates of all 4 atoms:
1 Pa 0.000 0.000 0.000
2 Os 0.750 0.750 0.750
3 Pt 0.250 0.250 0.250
4 Er 0.500 0.500 0.500


(7)
Computed, not measured: a geometry-optimized ErPaReOs structure at the PBE level of DFT.

Properties
* volume: 20.16 A^3/atom
* SG: F-43m
* final energy: -9.5460 eV/atom
* E_form: -112 meV per atom

Lattice parameters (Å, degrees): 4.849 4.849 4.849 60.00 60.00 60.00
Fractional coordinates of all 4 atoms:
1 Re 0.750 0.750 0.750
2 Pa 0.000 0.000 0.000
3 Os 0.250 0.250 0.250
4 Er 0.500 0.500 0.500


(8)
Computed, not measured: a geometry-optimized ErPaOsRu structure at the PBE level of DFT.

Properties
* volume: 20.26 A^3/atom
* SG: Cm
* final energy: -9.0337 eV/atom
* E_form: -393 meV per atom

Lattice parameters (Å, degrees): 4.679 5.094 5.145 126.66 117.05 90.00
Fractional coordinates of all 4 atoms:
1 Er 0.499 0.502 0.998
2 Pa 0.999 0.007 0.997
3 Os 0.737 0.280 0.474
4 Ru 0.265 0.711 0.530


(9)
Computed, not measured: a geometry-optimized ErPaOsSe structure at the PBE level of DFT.

Properties
* volume: 24.35 A^3/atom
* SG: R3m
* final energy: -8.0423 eV/atom
* formation energy from raw total energies: -19.6 kcal/mol of atoms

Lattice parameters (Å, degrees): 3.954 3.954 7.545 90.01 105.18 120.00
Fractional coordinates of all 4 atoms:
1 Er 0.952 0.374 0.341
2 Pa 0.329 0.562 0.907
3 Os 0.126 0.961 0.101
4 Se 0.471 0.134 0.621


(10)
Computed, not measured: a geometry-optimized ErPaTcOs structure at the PBE level of DFT.

Properties
* volume: 20.03 A^3/atom
* SG: F-43m
* final energy: -9.1630 eV/atom
* E_form: -249 meV per atom

Lattice parameters (Å, degrees): 4.839 4.839 4.839 60.00 60.00 60.00
Fractional coordinates of all 4 atoms:
1 Pa 0.500 0.500 0.500
2 Os 0.250 0.250 0.250
3 Tc 0.750 0.750 0.750
4 Er 0.000 0.000 0.000


(11)
Computed, not measured: a geometry-optimized ErPaTeOs structure at the PBE level of DFT.

Properties
* volume: 26.41 A^3/atom
* SG: R3m
* final energy: -7.7870 eV/atom
* formation energy from raw total energies: -15.7 kcal/mol of atoms

Lattice parameters (Å, degrees): 4.063 4.063 7.754 90.00 105.18 119.99
Fractional coordinates of all 4 atoms:
1 Er 0.498 0.147 0.660
2 Pa 0.100 0.948 0.063
3 Te 0.968 0.382 0.365
4 Os 0.312 0.554 0.882


(12)
Computed, not measured: a geometry-optimized Er7Os2Pb2 structure at the PBE level of DFT.

Properties
* volume: 29.16 A^3/atom
* SG: Cmmm
* final energy: -5.8557 eV/atom
* E_form: -236 meV per atom

Lattice parameters (Å, degrees): 6.759 7.235 6.759 90.00 103.91 90.00
Fractional coordinates of all 11 atoms:
1 Er 0.000 0.239 0.500
2 Er 0.500 0.761 0.000
3 Er 0.000 0.761 0.500
4 Er 0.500 0.239 0.000
5 Er 0.000 0.000 0.000
6 Er 0.500 0.775 0.500
7 Er 0.500 0.225 0.500
8 Os 0.715 0.000 0.285
9 Os 0.285 0.000 0.715
10 Pb 0.810 0.500 0.810
11 Pb 0.190 0.500 0.190


(13)
Computed, not measured: a geometry-optimized Er5OsPb structure at the PBE level of DFT.

Properties
* volume: 28.58 A^3/atom
* SG: C2/c
* final energy: -5.4989 eV/atom
* E_form: -106 meV per atom

Lattice parameters (Å, degrees): 6.408 6.408 11.304 74.48 74.48 65.38
Fractional coordinates of all 14 atoms:
1 Er 0.965 0.598 0.137
2 Er 0.211 0.540 0.545
3 Er 0.598 0.965 0.637
4 Er 0.973 0.027 0.250
5 Er 0.460 0.789 0.955
6 Er 0.540 0.211 0.045
7 Er 0.027 0.973 0.750
8 Er 0.402 0.035 0.363
9 Er 0.789 0.460 0.455
10 Er 0.035 0.402 0.863
11 Os 0.000 0.000 0.000
12 Os 0.000 0.000 0.500
13 Pb 0.463 0.537 0.250
14 Pb 0.537 0.463 0.750


(14)
Computed, not measured: a geometry-optimized Er6OsPb3 structure at the PBE level of DFT.

Properties
* volume: 28.76 A^3/atom
* SG: P2_1/c
* final energy: -5.2924 eV/atom
* E_form: -319 meV per atom

Lattice parameters (Å, degrees): 6.083 8.728 10.840 90.00 88.39 90.00
Fractional coordinates of all 20 atoms:
1 Er 0.619 0.155 0.941
2 Er 0.597 0.205 0.565
3 Er 0.635 0.450 0.269
4 Er 0.365 0.550 0.731
5 Er 0.403 0.795 0.435
6 Er 0.381 0.845 0.059
7 Er 0.119 0.345 0.441
8 Er 0.097 0.295 0.065
9 Er 0.135 0.050 0.769
10 Er 0.865 0.950 0.231
11 Er 0.903 0.705 0.935
12 Er 0.881 0.655 0.559
13 Os 0.500 0.500 0.500
14 Os 0.000 0.000 0.000
15 Pb 0.602 0.887 0.735
16 Pb 0.500 0.500 0.000
17 Pb 0.398 0.113 0.265
18 Pb 0.102 0.613 0.235
19 Pb 0.000 0.000 0.500
20 Pb 0.898 0.387 0.765


(15)
Computed, not measured: a geometry-optimized Er8Os2Pb structure at the PBE level of DFT.

Properties
* volume: 26.06 A^3/atom
* SG: Cm
* final energy: -5.9132 eV/atom
* E_form: -216 meV per atom

Lattice parameters (Å, degrees): 5.174 6.971 9.054 112.56 106.61 90.01
Fractional coordinates of all 11 atoms:
1 Pb 0.136 0.982 0.909
2 Os 0.806 0.620 0.250
3 Os 0.465 0.278 0.566
4 Er 0.636 0.280 0.908
5 Er 0.964 0.017 0.565
6 Er 0.308 0.360 0.253
7 Er 0.747 0.928 0.130
8 Er 0.348 0.852 0.334
9 Er 0.925 0.430 0.486
10 Er 0.137 0.548 0.911
11 Er 0.527 0.706 0.690


(16)
Computed, not measured: a geometry-optimized Er5Os2Pb2 structure at the PBE level of DFT.

Properties
* volume: 25.91 A^3/atom
* SG: Cmce
* final energy: -6.2163 eV/atom
* E_form: -362 meV per atom

Lattice parameters (Å, degrees): 7.586 7.463 9.069 90.00 65.28 90.00
Fractional coordinates of all 18 atoms:
1 Er 0.000 0.000 0.000
2 Er 0.500 0.500 0.000
3 Er 0.437 0.177 0.766
4 Er 0.797 0.823 0.766
5 Er 0.297 0.677 0.766
6 Er 0.937 0.323 0.766
7 Er 0.563 0.823 0.234
8 Er 0.203 0.177 0.234
9 Er 0.703 0.323 0.234
10 Er 0.063 0.677 0.234
11 Os 0.119 0.383 0.000
12 Os 0.881 0.617 0.000
13 Os 0.381 0.883 0.000
14 Os 0.619 0.117 0.000
15 Pb 0.227 0.000 0.546
16 Pb 0.727 0.500 0.546
17 Pb 0.773 0.000 0.454
18 Pb 0.273 0.500 0.454


(17)
Computed, not measured: a geometry-optimized ErScOsPb structure at the PBE level of DFT.

Properties
* volume: 22.29 A^3/atom
* SG: P4mm
* final energy: -6.8884 eV/atom
* E_form: -430 meV per atom

Lattice parameters (Å, degrees): 3.313 3.313 8.124 90.00 90.00 90.00
Fractional coordinates of all 4 atoms:
1 Er 0.500 0.500 0.769
2 Sc 0.500 0.500 0.373
3 Os 0.000 0.000 0.556
4 Pb 0.000 0.000 0.086


(18)
Computed, not measured: a geometry-optimized Er2OsPd structure at the PBE level of DFT.

Properties
* volume: 20.09 A^3/atom
* SG: P4/mmm
* offset from the most stable computed form: 0.00 kcal/mol of atoms
* final energy: -7.0108 eV/atom
* E_form: -624 meV per atom

Lattice parameters (Å, degrees): 3.414 3.414 6.893 90.00 90.00 90.00
Fractional coordinates of all 4 atoms:
1 Os 0.500 0.500 0.000
2 Pd 0.500 0.500 0.500
3 Er 0.000 0.000 0.761
4 Er 0.000 0.000 0.239


(19)
Computed, not measured: a geometry-optimized Er2OsPd structure at the PBE level of DFT.

Properties
* volume: 19.93 A^3/atom
* SG: Fm-3m
* offset from the most stable computed form: 0.61 kcal/mol of atoms
* final energy: -6.9843 eV/atom
* E_form: -597 meV per atom

Lattice parameters (Å, degrees): 4.831 4.831 4.831 60.00 60.00 60.00
Fractional coordinates of all 4 atoms:
1 Os 0.000 0.000 0.000
2 Pd 0.500 0.500 0.500
3 Er 0.750 0.750 0.750
4 Er 0.250 0.250 0.250


(20)
Computed, not measured: a geometry-optimized Er4OsPd structure at the PBE level of DFT.

Properties
* volume: 25.03 A^3/atom
* SG: C2/c
* offset from the most stable computed form: 0.00 kcal/mol of atoms
* final energy: -6.2580 eV/atom
* E_form: -479 meV per atom

Lattice parameters (Å, degrees): 6.212 7.352 7.352 112.66 97.85 97.85
Fractional coordinates of all 12 atoms:
1 Er 0.929 0.628 0.773
2 Er 0.036 0.925 0.277
3 Er 0.571 0.227 0.372
4 Er 0.464 0.723 0.075
5 Er 0.536 0.277 0.925
6 Er 0.429 0.773 0.628
7 Er 0.964 0.075 0.723
8 Er 0.071 0.372 0.227
9 Os 0.250 0.000 0.000
10 Os 0.750 0.000 0.000
11 Pd 0.750 0.628 0.372
12 Pd 0.250 0.372 0.628